A plane-wave DFT calculation with GGA+U was carried out for a relaxed structure of HgMoO4F.

Properties
The value obtained for the total DFT energy (no corrections) is -5.18 eV/atom. The total moment is 1.0 μB per formula unit.

Cell and atoms, written as CIF:
```
data_HgMoO4F
_cell_length_a 9.599
_cell_length_b 7.224
_cell_length_c 8.455
_cell_angle_alpha 90.00
_cell_angle_beta 114.35
_cell_angle_gamma 90.00
_space_group_name_H-M_alt 'C 1 2/m 1'
_space_group_IT_number 12
loop_
_space_group_symop_operation_xyz
'x,y,z'
'-x,-y,-z'
'-x,y,-z'
'x,-y,z'
'x+1/2,y+1/2,z'
'-x+1/2,-y+1/2,-z'
'-x+1/2,y+1/2,-z'
'x+1/2,-y+1/2,z'
loop_
_atom_site_label
_atom_site_fract_x
_atom_site_fract_y
_atom_site_fract_z
_atom_site_occupancy
Hg1 0.170 0.000 0.201 1
Mo1 0.157 0.500 0.310 1
O1 0.025 0.500 0.689 1
O2 0.181 0.299 0.196 1
O3 0.198 0.000 0.467 1
F1 0.115 0.000 0.932 1
```